Computed, not measured: crystalline Tc3C at its relaxed geometry at the PBE level of DFT.

The space group is Pm-3n (No. 223) and the conventional cell measures 4.679, 4.679 and 4.679 Å, with angles of 90.00, 90.00 and 90.00 degrees. Symmetry generates all atoms from Tc at (0.000, 0.250, 0.500) and C at (0.000, 0.000, 0.000).

Its crystal system is cubic. For the density of states at the Fermi level, the calculation gives 9.4 states/eV/cell. The formation enthalpy at 0 K comes out at 4.701 eV/f.u. The energy above the most stable polymorph in this dataset comes out at 1166 meV per atom.